[1]
Entry from Alexandria via LeMat-Bulk: a relaxed TbPr2DyTm4 crystal (PBE). Values from VASP.

Calculated values
E_form	0.022	eV/atom

```
&SYSTEM
  ibrav = 0, nat = 16, ntyp = 4
/
ATOMIC_SPECIES
Tb 158.93 Tb.upf
Pr 140.91 Pr.upf
Tm 168.93 Tm.upf
Dy 162.50 Dy.upf
CELL_PARAMETERS angstrom
-5.5664 -8.4838 0.2870
8.1563 -5.4051 -1.7249
-4.5597 9.2834 6.5588
ATOMIC_POSITIONS crystal
Tb 0.0000 0.5000 0.5000
Tb 0.0000 0.5000 0.0000
Pr 0.5000 0.5000 0.0000
Pr 0.5000 0.0000 0.5000
Pr 0.0000 0.0000 0.5000
Pr 0.5000 0.0000 0.0000
Tm 0.7523 0.7523 0.5049
Tm 0.7523 0.7527 0.9998
Tm 0.2477 0.2473 0.0002
Tm 0.7523 0.2574 0.5047
Tm 0.7522 0.2468 0.9996
Tm 0.2477 0.7426 0.4953
Tm 0.2477 0.2477 0.4951
Tm 0.2478 0.7532 0.0004
Dy 0.5000 0.5000 0.5000
Dy 0.0000 0.0000 0.0000
```


[2]
Entry from Alexandria via LeMat-Bulk: a relaxed Sr8SiPt2 crystal (PBE). Values from VASP.

Calculated values
raw total energy	-3.047	eV per atom

```
&SYSTEM
  ibrav = 0, nat = 11, ntyp = 3
/
ATOMIC_SPECIES
Sr 87.62 Sr.upf
Si 28.09 Si.upf
Pt 195.08 Pt.upf
CELL_PARAMETERS angstrom
6.2866 0.0004 0.0006
-0.0009 8.3969 -4.8485
0.0016 -0.0088 9.6874
ATOMIC_POSITIONS crystal
Sr 0.2693 0.6666 0.3331
Sr 0.7548 0.3221 0.1626
Sr 0.7307 0.3334 0.6669
Sr 0.7547 0.8402 0.6778
Sr 0.2452 0.1623 0.8402
Sr 0.7548 0.8377 0.1598
Sr 0.2453 0.1598 0.3222
Sr 0.2452 0.6779 0.8374
Si 0.0000 0.0000 0.0000
Pt 0.7777 0.6666 0.3330
Pt 0.2223 0.3334 0.6670
```


[3]
Entry from Alexandria via LeMat-Bulk: a relaxed CaPmEr2Au4 crystal (PBE). Values from VASP.

Calculated values
E_form	-0.822	eV/atom

```
&SYSTEM
  ibrav = 0, nat = 8, ntyp = 4
/
ATOMIC_SPECIES
Au 196.97 Au.upf
Er 167.26 Er.upf
Pm 145.00 Pm.upf
Ca 40.08 Ca.upf
CELL_PARAMETERS angstrom
-0.1625 4.9086 -1.3873
0.6733 1.2930 -4.8908
-8.0681 1.4261 -3.3964
ATOMIC_POSITIONS crystal
Au 0.6267 0.6267 0.1200
Au 0.8766 0.8766 0.3701
Au 0.3733 0.3733 0.8800
Au 0.1234 0.1234 0.6299
Er 0.7524 0.7524 0.7428
Er 0.2476 0.2476 0.2572
Pm 0.0000 0.0000 0.0000
Ca 0.5000 0.5000 0.5000
```


[4]
Entry from Alexandria via LeMat-Bulk: a relaxed SmDy3Pb2 crystal (PBE). Values from VASP.

Calculated values
E_form	-0.413	eV/atom

```
&SYSTEM
  ibrav = 0, nat = 6, ntyp = 3
/
ATOMIC_SPECIES
Dy 162.50 Dy.upf
Pb 207.20 Pb.upf
Sm 150.36 Sm.upf
CELL_PARAMETERS angstrom
4.5700 0.0000 0.0000
0.0000 4.5700 0.0000
0.0000 0.0000 8.6435
ATOMIC_POSITIONS crystal
Dy 0.5000 0.0000 0.3432
Dy 0.0000 0.0000 0.0000
Dy 0.0000 0.5000 0.6568
Pb 0.0000 0.5000 0.2878
Pb 0.5000 0.0000 0.7122
Sm 0.5000 0.5000 0.0000
```